# 1
The following is a DFT calculation (meta-GGA SCAN) of a crystal of TlHgSeN2 relaxed with PBEsol.

Its density of states at the Fermi level is 0.334 states/eV per atom. The uncorrected formation energy is 156.3 kJ per mole of atoms. For the final energy, the calculation gives -171.083 eV for the cell shown.

Unit cell a=4.2411 b=4.2411 c=5.9228 alpha=90.00 beta=90.00 gamma=90.00
Last column: nearest neighbours and their distance in Å.
Space group P4/mmm (No. 123)
Inequivalent atoms, fractional coordinates:
Tl1 0.0000 0.0000 0.0000 [1 per cell]  4 N 2.12
Hg1 0.5000 0.5000 0.5000 [1 per cell]  4 Se 3.00
Se1 0.0000 0.0000 0.5000 [1 per cell]  2 Tl 2.96, 4 Hg 3.00
N1 0.0000 0.5000 0.0000 [2 per cell]  2 Tl 2.12

# 2
The following is a DFT calculation (meta-GGA SCAN) of a crystal of Ba6Na2V2Ru2O17 relaxed with PBEsol.

The uncorrected formation energy is -250.7 kJ per mole of atoms. For the final energy, the calculation gives -1063.294 eV for the cell shown.

Unit cell a=5.8211 b=5.8211 c=29.7499 alpha=90.00 beta=90.00 gamma=120.00
Last column: nearest neighbours and their distance in Å.
Space group P6_3/mmc (No. 194)
Inequivalent atoms, fractional coordinates:
Ba1 0.0000 0.0000 0.0000 [2 per cell]  6 O 2.79
Ba2 0.0000 0.0000 0.2500 [2 per cell]  12 O 2.91-2.96
Ba3 0.3333 0.6667 0.0928 [4 per cell]  4 O 2.61-2.80
Ba4 0.3333 0.6667 0.6802 [4 per cell]  9 O 2.76-2.93
Na1 0.0000 0.0000 0.1240 [4 per cell]  6 O 2.25-2.33
V1 0.3333 0.6667 0.5521 [4 per cell]  4 O 1.70-1.72
Ru1 0.3333 0.6667 0.2040 [4 per cell]  6 O 1.87-2.06
O1 0.0276 0.5138 0.2500 [6 per cell]  2 Ru 2.06
O2 0.1743 0.3486 0.5728 [12 per cell]  1 V 1.72
O3 0.1762 0.3525 0.1703 [12 per cell]  1 Ru 1.87
O4 0.3333 0.6667 0.0050 [4 per cell]  1 V 1.70

# 3
The following is a DFT calculation (meta-GGA SCAN) of a crystal of BeCrBr2 relaxed with PBEsol.

Its density of states at the Fermi level is 0.127 states/eV per atom. The energy relative to the lowest polymorph listed for this composition comes out at 617.2 meV per atom. The uncorrected formation energy is 37.2 kJ per mole of atoms. For the final energy, the calculation gives -240.457 eV for the cell shown.

Unit cell a=6.6703 b=6.6703 c=6.6703 alpha=90.00 beta=90.00 gamma=90.00
Last column: nearest neighbours and their distance in Å.
Space group Fm-3m (No. 225)
Inequivalent atoms, fractional coordinates:
Be1 0.0000 0.0000 0.0000 [4 per cell]  8 Br 2.89
Cr1 0.0000 0.0000 0.5000 [4 per cell]  8 Br 2.89
Br1 0.2500 0.2500 0.2500 [8 per cell]  4 Cr 2.89, 4 Be 2.89

# 4
The following is a DFT calculation (meta-GGA SCAN) of a crystal of TaAl2SeI relaxed with PBEsol.

Its density of states at the Fermi level is 0.760 states/eV per atom. The uncorrected formation energy is 177.5 kJ per mole of atoms. For the final energy, the calculation gives -129.710 eV for the cell shown.

Unit cell a=5.3093 b=5.3093 c=5.0337 alpha=90.00 beta=90.00 gamma=90.00
Last column: nearest neighbours and their distance in Å.
Space group P4/mmm (No. 123)
Inequivalent atoms, fractional coordinates:
Ta1 0.0000 0.0000 0.0000 [1 per cell]  2 I 2.52
Al1 0.0000 0.5000 0.5000 [2 per cell]  2 I 2.65
Se1 0.5000 0.5000 0.0000 [1 per cell]  8 Al 3.66, 4 Ta 3.75
I1 0.0000 0.0000 0.5000 [1 per cell]  2 Ta 2.52, 4 Al 2.65

# 5
The following is a DFT calculation (meta-GGA SCAN) of a crystal of CsPbS2N relaxed with PBEsol.

Its density of states at the Fermi level is 0.630 states/eV per atom. The uncorrected formation energy is 140.2 kJ per mole of atoms. For the final energy, the calculation gives -134.873 eV for the cell shown.

Unit cell a=5.4184 b=5.4184 c=4.3249 alpha=90.00 beta=90.00 gamma=90.00
Last column: nearest neighbours and their distance in Å.
Space group P4/mmm (No. 123)
Inequivalent atoms, fractional coordinates:
Cs1 0.0000 0.0000 0.0000 [1 per cell]  2 N 2.16
Pb1 0.5000 0.5000 0.5000 [1 per cell]  8 S 3.47, 4 N 3.83
S1 0.0000 0.5000 0.0000 [2 per cell]  2 Cs 2.71
N1 0.0000 0.0000 0.5000 [1 per cell]  2 Cs 2.16

# 6
The following is a DFT calculation (meta-GGA SCAN) of a crystal of Zr2CrBr relaxed with PBEsol.

Its density of states at the Fermi level is 1.187 states/eV per atom. The energy relative to the lowest polymorph listed for this composition comes out at 431.8 meV per atom. The uncorrected formation energy is 13.5 kJ per mole of atoms. For the final energy, the calculation gives -98.680 eV for the cell shown.

Unit cell a=4.8588 b=4.8588 c=3.1244 alpha=90.00 beta=90.00 gamma=90.00
Last column: nearest neighbours and their distance in Å.
Space group P4/mmm (No. 123)
Inequivalent atoms, fractional coordinates:
Zr1 0.0000 0.5000 0.0000 [2 per cell]  4 Cr 2.89, 4 Br 2.89, 2 Zr 3.12
Cr1 0.0000 0.0000 0.5000 [1 per cell]  8 Zr 2.89, 2 Cr 3.12
Br1 0.5000 0.5000 0.5000 [1 per cell]  8 Zr 2.89, 2 Br 3.12

# 7
The following is a DFT calculation (meta-GGA SCAN) of a crystal of W4Au relaxed with PBEsol.

Its density of states at the Fermi level is 0.671 states/eV per atom. The formation energy comes out at 1069 meV/atom. For the final energy, the calculation gives -685.128 eV for the cell shown.

Unit cell a=4.0833 b=4.0833 c=11.2316 alpha=90.00 beta=90.00 gamma=90.00
Last column: nearest neighbours and their distance in Å.
Space group I4/mmm (No. 139)
Inequivalent atoms, fractional coordinates:
W1 0.0000 0.0000 0.1148 [4 per cell]  5 W 2.54-2.58
W2 0.0000 0.5000 0.2500 [4 per cell]  4 W 2.54
Au1 0.0000 0.0000 0.5000 [2 per cell]  16 W 3.16-3.47

# 8
The following is a DFT calculation (meta-GGA SCAN) of a crystal of NbGaHg3 relaxed with PBEsol.

Its density of states at the Fermi level is 0.823 states/eV per atom. The formation energy comes out at 876 meV/atom. For the final energy, the calculation gives -249.592 eV for the cell shown.

Unit cell a=4.9649 b=4.9649 c=4.9649 alpha=90.00 beta=90.00 gamma=90.00
Last column: nearest neighbours and their distance in Å.
Space group Pm-3m (No. 221)
Inequivalent atoms, fractional coordinates:
Nb1 0.0000 0.0000 0.0000 [1 per cell]  12 Hg 3.51
Ga1 0.5000 0.5000 0.5000 [1 per cell]  6 Hg 2.48
Hg1 0.0000 0.5000 0.5000 [3 per cell]  2 Ga 2.48

# 9
The following is a DFT calculation (meta-GGA SCAN) of a crystal of SrSi2Ir relaxed with PBEsol.

Its density of states at the Fermi level is 0.611 states/eV per atom. The uncorrected formation energy is -66.9 kJ per mole of atoms. For the final energy, the calculation gives -348.541 eV for the cell shown.

Unit cell a=4.0821 b=4.0821 c=17.0353 alpha=90.00 beta=90.00 gamma=120.00
Last column: nearest neighbours and their distance in Å.
Space group R3m (No. 160, hexagonal axes)
Inequivalent atoms, fractional coordinates:
Sr1 0.0000 0.0000 0.0000 [3 per cell]  7 Si 3.15-3.42, 4 Ir 3.15-3.46
Si1 0.0000 0.0000 0.5443 [3 per cell]  3 Ir 2.40
Si2 0.0000 0.0000 0.7993 [3 per cell]  3 Ir 2.52, 3 Si 2.71
Ir1 0.0000 0.0000 0.1847 [3 per cell]  6 Si 2.40-2.52

# 10
The following is a DFT calculation (meta-GGA SCAN) of a crystal of ZrTl2Ir relaxed with PBEsol.

Its density of states at the Fermi level is 0.856 states/eV per atom. The formation energy comes out at 200 meV/atom. The energy relative to the lowest polymorph listed for this composition comes out at 152.6 meV per atom. For the final energy, the calculation gives -491.429 eV for the cell shown.

Unit cell a=4.7754 b=4.7754 c=6.7845 alpha=90.00 beta=90.00 gamma=90.00
Last column: nearest neighbours and their distance in Å.
Space group I4/mmm (No. 139)
Inequivalent atoms, fractional coordinates:
Zr1 0.0000 0.0000 0.0000 [2 per cell]  8 Tl 2.93
Tl1 0.0000 0.5000 0.2500 [4 per cell]  4 Zr 2.93, 4 Ir 2.93
Ir1 0.0000 0.0000 0.5000 [2 per cell]  8 Tl 2.93

# 11
The following is a DFT calculation (meta-GGA SCAN) of a crystal of NaZn3H3S2O9 relaxed with PBEsol.

Its density of states at the Fermi level is 0.000 states/eV per atom. For the final energy, the calculation gives -314.273 eV for the cell shown.

Unit cell a=5.8575 b=5.8575 c=13.1929 alpha=90.00 beta=90.00 gamma=120.00
Last column: nearest neighbours and their distance in Å.
Space group P3c1 (No. 158)
Inequivalent atoms, fractional coordinates:
Na1 0.0000 0.0000 0.0000 [2 per cell]  6 O 2.33-2.55, 1 H 2.38
Zn1 0.0005 0.3459 0.2321 [6 per cell]  5 O 2.02-2.12
H1 0.0000 0.0000 0.3196 [2 per cell]  1 O 0.98
H2 0.3333 0.6667 0.3580 [2 per cell]  1 O 0.99
H3 0.6667 0.3333 0.1087 [2 per cell]  1 O 1.00
S1 0.3333 0.6667 0.0411 [2 per cell]  3 O 1.54
S2 0.6667 0.3333 0.4286 [2 per cell]  3 O 1.54
O1 0.0000 0.0000 0.2452 [2 per cell]  1 H 0.98
O2 0.1493 0.3941 0.0879 [6 per cell]  1 S 1.54
O3 0.3333 0.6667 0.2827 [2 per cell]  1 H 0.99
O4 0.3949 0.1427 0.3825 [6 per cell]  1 S 1.54
O5 0.6667 0.3333 0.1842 [2 per cell]  1 H 1.00

The lowest final energy belongs to which entry? Ba6Na2V2Ru2O17